# 1
## Np2Al3ZnGa4 (PBE-GGA)

Data for a relaxed structure of Np2Al3ZnGa4.

abc: 4.189 4.189 10.848
angles: 90.00 90.00 90.00
Sites, in units of the cell vectors:
Np 0.000 0.500 0.246
Np 0.500 0.000 0.754
Al 0.000 0.500 0.861
Al 0.500 0.000 0.139
Al 0.500 0.500 0.500
Zn 0.000 0.000 0.500
Ga 0.000 0.000 0.000
Ga 0.000 0.500 0.637
Ga 0.500 0.000 0.363
Ga 0.500 0.500 0.000

Summary:
Formation enthalpy at 0 K = -8.9 kJ/mol of atoms

***

# 2
## Al2GaO (PBE-GGA)

Data for a relaxed structure of Al2GaO.

abc: 4.344 4.344 4.344
angles: 60.00 60.00 60.00
Sites, in units of the cell vectors:
Al 0.250 0.250 0.250
Al 0.750 0.750 0.750
Ga 0.000 0.000 0.000
O 0.500 0.500 0.500

Summary:
Formation energy (no corrections) = 0.04 eV per atom
Energy above the lowest structure with this stoichiometry = 843 meV/atom

***

# 3
## Al3GaO (PBE-GGA)

Data for a relaxed structure of Al3GaO.

abc: 4.781 4.781 4.781
angles: 90.00 90.00 90.00
Sites, in units of the cell vectors:
Al 0.000 0.000 0.500
Al 0.000 0.500 0.000
Al 0.500 0.000 0.000
Ga 0.000 0.000 0.000
O 0.500 0.500 0.500

Summary:
Formation energy (no corrections) = 0.75 eV per atom
Energy above the lowest structure with this stoichiometry = 1084 meV/atom

***

# 4
## Al2GaO (PBE-GGA)

Data for a relaxed structure of Al2GaO.

abc: 6.409 6.409 6.409
angles: 134.53 134.53 66.26
Sites, in units of the cell vectors:
Al 0.009 0.625 0.884
Al 0.375 0.259 0.384
Al 0.741 0.125 0.116
Al 0.875 0.991 0.616
Ga 0.250 0.750 0.500
Ga 0.500 0.500 0.000
O 0.000 0.000 0.000
O 0.750 0.250 0.500

Summary:
Formation energy (no corrections) = -0.80 eV per atom
Energy above the lowest structure with this stoichiometry = 0 meV/atom

***

Number 1: electronic total energy -5.14 eV per atom, total magnetic moment 9.00 μB per formula unit. Number 2: electronic total energy -3.83 eV per atom, total magnetic moment 0.00 μB per formula unit. Number 3: electronic total energy -3.09 eV per atom, total magnetic moment 0.00 μB per formula unit. Number 4: electronic total energy -4.67 eV per atom, total magnetic moment 0.00 μB per formula unit.